Compound: TbTm8Mg6
Source: the Alexandria database
Functional: PBE-GGA
Structure: optimized geometry

Output
Formation energy from the elements in eV per atom: 0.219
Volume in Å³/cell: 1348.8
ρ in g/cm3: 6.12

Cell: 9.0231 9.0231 19.1290 Å, 90.00 90.00 120.00°
Space group R-3 (No. 148, hexagonal axes)
One atom of each set of equivalent atoms:
Tb 0.0000 0.0000 0.0000
Tm 0.0000 0.0000 0.3390
Tm 0.9995 0.3340 0.8831
Mg 0.0001 0.3305 0.7151

---

Compound: BaAlIn2S6
Source: the Alexandria database
Functional: PBE-GGA
Structure: optimized geometry

Output
Volume in Å³/cell: 1189.1
ρ in g/cm3: 3.28
Energy relative to the elements, uncorrected in meV per atom: -872

Cell: 13.560 12.552 8.000 Å, 90.00 119.16 90.00°
Space group C2/c (No. 15)
One atom of each set of equivalent atoms:
Ba 0.000 0.160 0.250
Al 0.000 0.164 0.750
In 0.185 0.424 0.098
S 0.111 0.056 0.676
S 0.117 0.432 0.354
S 0.122 0.238 0.031

---

Compound: TbInCoAg
Source: the Alexandria database
Functional: PBE-GGA
Structure: optimized geometry

Output
Formation energy from the elements in eV per atom: -0.125
Volume in Å³/cell: 313.3
ρ in g/cm3: 9.34

Cell: 6.792 6.792 6.792 Å, 90.00 90.00 90.00°
Space group F-43m (No. 216)
One atom of each set of equivalent atoms:
Tb 0.000 0.000 0.000
In 0.000 0.000 0.500
Co 0.250 0.250 0.750
Ag 0.250 0.250 0.250

---

Compound: Li2BeCr
Source: the Alexandria database
Functional: PBE-GGA
Structure: optimized geometry

Output
Formation energy from the elements in eV per atom: 0.927
Volume in Å³/cell: 194.8
ρ in g/cm3: 2.55

Cell: 6.487 6.487 4.630 Å, 90.00 90.00 90.00°
Space group I-42d (No. 122)
One atom of each set of equivalent atoms:
Li 0.225 0.750 0.125
Be 0.000 0.000 0.000
Cr 0.000 0.000 0.500

---

Compound: BaMnHg
Source: the Alexandria database
Functional: PBE-GGA
Structure: optimized geometry

Output
Formation energy from the elements in eV per atom: 0.644
Energy above the most stable polymorph in this dataset in meV per atom: 536
Volume in Å³/cell: 465.0
ρ in g/cm3: 5.61

Cell: 7.747 7.747 7.747 Å, 90.00 90.00 90.00°
Space group F-43m (No. 216)
One atom of each set of equivalent atoms:
Ba 0.000 0.000 0.000
Mn 0.250 0.250 0.750
Hg 0.250 0.250 0.250

---

Compound: Ca3HoU3N8
Source: the Alexandria database
Functional: PBE-GGA
Structure: optimized geometry

Output
Volume in Å³/cell: 712.4
ρ in g/cm3: 7.77
Energy relative to the elements, uncorrected in meV per atom: -1253

Cell: 6.9460 6.9460 17.0509 Å, 90.00 90.00 120.00°
Space group R-3m (No. 166, hexagonal axes)
One atom of each set of equivalent atoms:
Ca 0.0000 0.5000 0.0000
Ho 0.0000 0.0000 0.5000
U 0.0000 0.5000 0.5000
N 0.0000 0.0000 0.2416
N 0.0117 0.5059 0.7692

---

Compound: Ce5Sm2Os3
Source: the Alexandria database
Functional: PBE-GGA
Structure: optimized geometry

Output
Formation energy from the elements in eV per atom: -0.086
Volume in Å³/cell: 1010.8
ρ in g/cm3: 10.33

Cell: 11.696 15.028 6.195 Å, 90.00 111.83 90.00°
Space group C2/c (No. 15)
One atom of each set of equivalent atoms:
Ce 0.000 0.022 0.250
Ce 0.117 0.346 0.531
Ce 0.213 0.449 0.119
Sm 0.115 0.204 0.052
Os 0.000 0.497 0.250
Os 0.154 0.158 0.581

---

Compound: AgAu3
Source: the Alexandria database
Functional: PBE-GGA
Structure: optimized geometry

Output
Formation energy from the elements in eV per atom: -0.011
Energy above the most stable polymorph in this dataset in meV per atom: 24
Volume in Å³/cell: 144.6
ρ in g/cm3: 16.04

Cell: 5.8808 5.8808 4.8293 Å, 90.00 90.00 120.00°
Space group P6_3/mmc (No. 194)
One atom of each set of equivalent atoms:
Ag 0.3333 0.6667 0.2500
Au 0.1671 0.3342 0.7500